Record 1
Density functional theory data (GGA-PBE) for a geometry-optimized NaLaTa2O7 structure.

POSCAR file:
```
NaLaTa2O7
1.0
11.172 -0.005 0.000
9.800 5.365 0.000
-10.486 -2.680 2.771
O Ta La Na
7 2 1 1
Cartesian
10.486 2.680 0.000
6.530 1.669 0.000
8.336 3.561 1.386
9.046 0.882 1.386
1.464 1.804 1.386
14.443 3.691 0.000
2.126 -0.887 1.386
8.278 2.116 0.000
12.694 3.244 0.000
0.000 0.000 0.000
4.900 2.682 1.386
```

Values from the calculation:
total DFT energy (no corrections): -96.89 eV per cell
SG: I-4m2
uncorrected formation energy: -2930 meV per atom

---

Record 2
Density functional theory data (GGA-PBE) for a geometry-optimized NaLa2TaO6 structure.

POSCAR file:
```
NaLa2TaO6
1.0
6.021 0.000 0.000
0.000 5.723 0.000
0.000 5.584 8.282
La O Ta Na
4 12 2 2
Cartesian
2.659 5.796 2.016
0.352 8.588 6.157
5.669 2.719 2.125
3.362 5.511 6.266
2.648 7.766 6.421
5.658 6.333 6.001
4.966 4.012 4.572
4.365 6.623 3.501
1.955 10.088 7.850
1.656 4.684 4.781
3.373 3.541 1.860
4.666 9.415 7.642
0.363 4.974 2.280
1.055 7.296 3.709
1.355 1.892 0.640
4.066 1.220 0.431
0.000 5.654 4.141
3.010 2.862 0.000
3.010 2.792 4.141
0.000 0.000 0.000
```

Values from the calculation:
total DFT energy (no corrections): -167.37 eV per cell
SG: P2_1/c
ΔE to the lowest computed polymorph: 0 meV/atom
uncorrected formation energy: -3091 meV per atom

---

Record 3
Density functional theory data (GGA-PBE) for a geometry-optimized NaLa2TaO6 structure.

POSCAR file:
```
NaLa2TaO6
1.0
-4.028 -2.129 -3.736
1.662 -3.480 -4.455
-1.364 -5.824 0.144
Na O La Ta
1 6 2 1
Cartesian
-2.700 -7.899 -6.527
-3.384 -5.532 -6.175
0.512 -5.316 -5.099
-0.884 -6.317 -2.275
-1.686 -7.763 -4.425
-2.294 -3.345 -2.948
-3.513 -6.417 -2.939
-1.300 -5.385 -0.176
-1.804 -5.295 -4.331
-0.821 -2.088 -2.571
```

Values from the calculation:
total DFT energy (no corrections): -83.40 eV per cell
SG: R3
ΔE to the lowest computed polymorph: 28 meV/atom
uncorrected formation energy: -3063 meV per atom

---

Record 4
Density functional theory data (GGA-PBE) for a geometry-optimized NaLa2TaTi2O12 structure.

POSCAR file:
```
NaLa2TaTi2O12
1.0
3.890 0.000 -0.005
0.000 3.910 0.189
-1.747 -0.736 15.881
O La Na Ti Ta
12 2 1 2 1
Cartesian
1.868 3.881 0.456
-0.074 1.710 4.089
3.814 1.900 0.359
2.061 1.316 12.240
0.116 3.265 12.320
-0.071 3.556 6.446
2.064 3.214 14.314
1.886 1.586 6.672
-0.075 3.787 2.329
2.059 3.378 10.075
1.791 1.527 7.905
1.871 3.667 4.172
0.118 1.218 13.719
1.869 1.743 2.230
0.093 3.450 8.772
2.061 3.291 11.777
3.813 3.814 0.299
-0.073 3.637 4.661
```

Values from the calculation:
total DFT energy (no corrections): -146.95 eV per cell
SG: P1
uncorrected formation energy: -2702 meV per atom

---

Record 5
Density functional theory data (GGA-PBE) for a geometry-optimized Na2LaTbO4 structure.

POSCAR file:
```
Na2LaTbO4
1.0
3.556 0.000 0.000
0.000 6.180 0.102
0.000 -2.164 5.577
Tb O La Na
1 4 1 2
Cartesian
0.000 0.000 0.000
0.000 -0.161 4.406
1.778 3.067 4.468
1.778 0.949 1.211
0.000 4.176 1.273
1.778 3.090 0.051
1.778 -1.082 2.789
0.000 2.008 2.839
```

Values from the calculation:
total DFT energy (no corrections): -53.63 eV per cell
SG: P2/m
uncorrected formation energy: -2700 meV per atom

---

Record 6
Density functional theory data (GGA-PBE) for a geometry-optimized NaLa2TcO6 structure.

POSCAR file:
```
NaLa2TcO6
1.0
-4.156 4.182 0.419
-5.425 -1.001 -2.118
-4.470 -0.608 3.481
O La Na Tc
6 2 1 1
Cartesian
-6.427 -0.484 1.897
-8.289 3.403 0.349
-8.939 0.717 1.594
-7.474 -0.376 -0.948
-4.562 1.826 0.867
-6.856 2.121 2.834
-4.176 -0.226 2.552
-6.814 1.567 0.214
-10.285 2.261 0.533
-3.259 0.975 -0.358
```

Values from the calculation:
total DFT energy (no corrections): -76.05 eV per cell
SG: R-3
uncorrected formation energy: -2476 meV per atom

---

Record 7
Density functional theory data (GGA-PBE) for a geometry-optimized NaLaTcO5 structure.

POSCAR file:
```
NaLaTcO5
1.0
6.516 -0.501 0.006
-2.381 6.086 0.006
-1.734 -2.342 7.689
O Tc La Na
10 2 2 2
Cartesian
-1.176 3.997 5.046
-2.632 2.030 6.499
0.160 2.156 7.104
2.241 1.087 0.597
4.503 -1.730 5.773
5.033 1.213 1.202
2.883 1.953 3.260
-0.482 1.290 4.441
3.577 -0.754 2.655
-2.102 4.973 1.928
3.410 0.893 1.928
-1.009 2.351 5.773
-0.867 -1.171 3.845
0.000 0.000 0.000
2.708 -0.401 5.773
-0.307 3.644 1.928
```

Values from the calculation:
total DFT energy (no corrections): -115.64 eV per cell
SG: C2/c
uncorrected formation energy: -2052 meV per atom

---

Record 8
Density functional theory data (GGA-PBE) for a geometry-optimized Na2LaTc2O7 structure.

POSCAR file:
```
Na2LaTc2O7
1.0
-1.493 -3.252 1.701
1.123 -2.184 -3.191
8.945 0.945 5.042
La O Na Tc
1 7 2 2
Cartesian
1.123 -2.184 -3.191
2.166 -1.416 -0.809
7.767 -2.551 1.940
5.285 -1.070 2.593
3.290 -3.422 0.960
-0.185 -2.718 -0.745
6.409 -3.075 4.361
0.808 -1.940 1.612
3.579 -2.502 2.973
4.996 -1.990 0.580
1.626 -3.084 0.143
6.950 -1.407 3.410
```

Values from the calculation:
total DFT energy (no corrections): -85.19 eV per cell
SG: Immm
uncorrected formation energy: -1848 meV per atom

---

Record 9
Density functional theory data (GGA-PBE) for a geometry-optimized NaLa2TeO6 structure.

POSCAR file:
```
NaLa2TeO6
1.0
-0.060 -5.700 -1.828
4.762 -2.291 -2.812
3.467 -4.087 2.829
La Te Na O
2 1 1 6
Cartesian
3.277 -3.945 2.393
3.861 -5.872 -1.420
1.654 -2.728 -1.348
5.811 -8.822 -2.085
1.774 -4.806 -0.923
3.298 -7.258 0.655
3.591 -7.872 -2.708
5.459 -4.367 -2.379
4.749 -4.924 0.784
5.832 -7.153 -0.411
```

Values from the calculation:
total DFT energy (no corrections): -67.33 eV per cell
SG: R3
uncorrected formation energy: -2326 meV per atom

---

Record 10
Density functional theory data (GGA-PBE) for a geometry-optimized Na2LaTeO6 structure.

POSCAR file:
```
Na2LaTeO6
1.0
5.799 0.000 -0.008
0.000 5.975 0.000
0.038 0.000 8.282
O Na Te La
12 4 2 2
Cartesian
5.203 3.300 1.822
1.578 4.068 0.351
4.843 4.573 7.722
1.925 4.390 3.585
4.496 4.895 4.487
0.634 2.676 6.451
3.912 1.585 4.688
4.259 1.907 7.923
0.994 1.403 0.551
1.341 1.081 3.786
3.514 0.312 2.306
2.323 5.663 5.967
2.854 2.760 1.990
5.773 0.227 6.126
0.064 5.748 2.147
2.983 3.215 6.284
2.918 0.000 4.137
0.000 2.988 0.000
0.019 2.988 4.141
2.899 0.000 -0.004
```

Values from the calculation:
total DFT energy (no corrections): -116.96 eV per cell
SG: P2_1/c
uncorrected formation energy: -1802 meV per atom

---

Record 11
Density functional theory data (GGA-PBE) for a geometry-optimized Na2La2Ti3O10 structure.

POSCAR file:
```
Na2La2Ti3O10
1.0
-1.311 14.268 -3.262
-5.264 13.711 0.485
5.076 -13.373 3.367
O Na La Ti
10 2 2 3
Cartesian
-1.371 5.836 -0.579
-6.132 26.095 -2.590
1.882 0.448 0.053
-0.443 1.884 -0.187
-5.203 22.142 -2.197
-0.970 3.896 1.556
-0.529 10.709 -0.966
-0.094 0.169 1.926
-2.505 10.431 0.908
1.007 4.175 -0.317
-4.680 19.914 -1.976
-1.895 8.064 -0.800
-3.783 16.098 -1.598
-2.792 11.881 -1.179
-0.972 4.135 -0.410
0.000 0.000 0.000
-5.603 23.844 -2.366
```

Values from the calculation:
total DFT energy (no corrections): -136.86 eV per cell
SG: I4/mmm
uncorrected formation energy: -3006 meV per atom

---

Record 12
Density functional theory data (GGA-PBE) for a geometry-optimized NaLaTiO4 structure.

POSCAR file:
```
NaLaTiO4
1.0
3.787 0.000 0.000
0.000 3.787 0.000
0.000 0.000 13.208
Na O La Ti
2 8 2 2
Cartesian
1.894 0.000 7.704
0.000 1.894 5.504
1.894 0.000 0.915
0.000 1.894 7.818
0.000 0.000 10.057
1.894 1.894 3.152
1.894 0.000 5.391
0.000 0.000 3.152
0.000 1.894 12.294
1.894 1.894 10.057
1.894 0.000 11.766
0.000 1.894 1.442
0.000 1.894 9.577
1.894 0.000 3.631
```

Values from the calculation:
total DFT energy (no corrections): -109.63 eV per cell
SG: P4/nmm
ΔE to the lowest computed polymorph: 0 meV/atom
uncorrected formation energy: -2977 meV per atom